Entry 1:
The following is a DFT calculation (PBEsol) of a relaxed AlTe2P crystal.

Computed properties:
Electronic total energy in eV/atom: -4.0503
Crystal system: tetragonal

Geometry as POSCAR:
```
AlTe2P
1.0
2.982 0.000 0.000
0.000 5.654 0.000
0.000 0.000 5.654
P Te Al
1 2 1
Direct
0.000 0.000 0.000
0.000 0.500 0.000
0.000 0.000 0.500
0.000 0.500 0.500
```

Entry 2:
The following is a DFT calculation (PBEsol) of a relaxed AlZn2TeP crystal.

Computed properties:
Electronic total energy in eV/atom: -2.3959
Crystal system: tetragonal

Geometry as POSCAR:
```
AlZn2TeP
1.0
5.029 0.000 0.000
0.000 5.029 0.000
0.000 0.000 5.220
P Zn Te Al
1 2 1 1
Direct
0.000 0.000 0.500
0.000 0.500 0.000
0.500 0.000 0.000
0.000 0.000 0.000
0.500 0.500 0.500
```

Entry 3:
The following is a DFT calculation (PBEsol) of a relaxed AlTl2P crystal.

Computed properties:
Electronic total energy in eV/atom: -3.3678
Energy of formation in meV/atom: 418
Crystal system: orthorhombic
Energy relative to the lowest polymorph listed for this composition in meV/atom: 56.8

Geometry as POSCAR:
```
AlTl2P
1.0
-1.147 2.501 1.563
-2.028 -0.314 -2.408
-5.260 -5.638 5.165
P Tl Al
1 2 1
Direct
0.500 0.500 0.000
0.000 0.000 0.232
0.000 0.000 0.768
0.500 0.500 0.500
```

Entry 4:
The following is a DFT calculation (PBEsol) of a relaxed AlTl2P crystal.

Computed properties:
Electronic total energy in eV/atom: -3.4246
Energy of formation in meV/atom: 361
Crystal system: tetragonal
Energy relative to the lowest polymorph listed for this composition in meV/atom: 0.0

Geometry as POSCAR:
```
AlTl2P
1.0
-0.638 3.699 -1.723
-2.954 0.785 2.778
5.435 -0.095 2.735
P Tl Al
1 2 1
Direct
0.000 0.000 0.000
0.750 0.250 0.500
0.250 0.750 0.500
0.500 0.500 0.000
```

Entry 5:
The following is a DFT calculation (PBEsol) of a relaxed Al2TlP2 crystal.

Computed properties:
Electronic total energy in eV/atom: -4.6444
Energy of formation in meV/atom: -165
Crystal system: tetragonal

Geometry as POSCAR:
```
Al2TlP2
1.0
-0.474 1.421 -3.677
-3.942 -0.198 0.432
2.160 5.525 3.999
P Tl Al
2 1 2
Direct
0.358 0.358 0.715
0.642 0.642 0.285
0.000 0.000 0.000
0.250 0.750 0.500
0.750 0.250 0.500
```

Entry 6:
The following is a DFT calculation (PBEsol) of a relaxed AlTl2P crystal.

Computed properties:
Electronic total energy in eV/atom: -3.3357
Energy of formation in meV/atom: 450
Crystal system: tetragonal
Energy relative to the lowest polymorph listed for this composition in meV/atom: 88.9

Geometry as POSCAR:
```
AlTl2P
1.0
6.460 0.000 0.000
-3.230 6.383 0.045
0.000 3.229 5.595
P Tl Al
2 4 2
Direct
0.750 0.500 0.750
0.000 0.000 0.000
0.110 0.750 0.875
0.640 0.750 0.375
0.375 0.250 0.110
0.875 0.250 0.640
0.250 0.500 0.250
0.500 0.000 0.500
```

Entry 7:
The following is a DFT calculation (PBEsol) of a relaxed Al2TlP crystal.

Computed properties:
Electronic total energy in eV/atom: -3.8074
Energy of formation in meV/atom: 344
Crystal system: cubic

Geometry as POSCAR:
```
Al2TlP
1.0
-4.471 1.606 -0.260
-3.570 -3.029 -0.845
-3.105 -1.039 3.451
P Tl Al
1 1 2
Direct
0.000 0.000 0.000
0.500 0.500 0.500
0.250 0.250 0.250
0.750 0.750 0.750
```

Entry 8:
The following is a DFT calculation (PBEsol) of a relaxed AlPW2 crystal.

Computed properties:
Electronic total energy in eV/atom: -9.1145
Energy of formation in meV/atom: 260
Crystal system: cubic
Energy relative to the lowest polymorph listed for this composition in meV/atom: 282.0

Geometry as POSCAR:
```
AlPW2
1.0
-1.322 4.002 -1.178
-4.234 0.758 -0.804
-2.353 2.432 2.774
P Al W
1 1 2
Direct
0.250 0.250 0.250
0.500 0.500 0.500
0.000 0.000 0.000
0.750 0.750 0.750
```

Entry 9:
The following is a DFT calculation (PBEsol) of a relaxed AlPW2 crystal.

Computed properties:
Electronic total energy in eV/atom: -9.3965
Energy of formation in meV/atom: -22
Crystal system: hexagonal
Energy relative to the lowest polymorph listed for this composition in meV/atom: 0.0

Geometry as POSCAR:
```
AlPW2
1.0
2.889 0.000 0.000
-1.445 2.502 0.000
0.000 0.000 16.233
Al P W
2 2 4
Direct
0.667 0.333 0.250
0.333 0.667 0.750
0.000 0.000 0.000
0.000 0.000 0.500
0.667 0.333 0.885
0.333 0.667 0.385
0.333 0.667 0.115
0.667 0.333 0.615
```

Entry 10:
The following is a DFT calculation (PBEsol) of a relaxed AlPW2 crystal.

Computed properties:
Electronic total energy in eV/atom: -9.1779
Energy of formation in meV/atom: 197
Crystal system: tetragonal
Energy relative to the lowest polymorph listed for this composition in meV/atom: 218.6

Geometry as POSCAR:
```
AlPW2
1.0
3.096 0.000 0.000
0.000 4.265 0.000
0.000 0.000 4.265
P Al W
1 1 2
Direct
0.500 0.000 0.000
0.500 0.500 0.500
0.000 0.000 0.500
0.000 0.500 0.000
```

Entry 11:
The following is a DFT calculation (PBEsol) of a relaxed AlZn3P crystal.

Computed properties:
Electronic total energy in eV/atom: -2.4372
Energy of formation in meV/atom: 489
Crystal system: cubic
Energy relative to the lowest polymorph listed for this composition in meV/atom: 0.0

Geometry as POSCAR:
```
AlZn3P
1.0
4.622 0.000 0.000
0.000 4.622 0.000
0.000 0.000 4.622
P Zn Al
1 3 1
Direct
0.000 0.000 0.000
0.000 0.500 0.000
0.000 0.000 0.500
0.500 0.000 0.000
0.500 0.500 0.500
```

Entry 12:
The following is a DFT calculation (PBEsol) of a relaxed AlZn2P crystal.

Computed properties:
Electronic total energy in eV/atom: -3.1112
Energy of formation in meV/atom: 150
Crystal system: orthorhombic

Geometry as POSCAR:
```
AlZn2P
1.0
2.878 0.000 0.000
0.000 4.794 0.062
0.000 -2.049 4.334
P Zn Al
1 2 1
Direct
0.500 0.500 0.500
0.000 0.500 0.000
0.000 0.000 0.500
0.500 0.000 0.000
```